! PBE SmScCo, optimized geometry; values from VASP
! Total energy (eV/atom): -6.22
! SG: Immm (71)
! E_form (eV/atom): -0.165
&SYSTEM
  ibrav = 0, nat = 6, ntyp = 3
/
ATOMIC_SPECIES
Sm 150.36 Sm.upf
Sc 44.96 Sc.upf
Co 58.93 Co.upf
CELL_PARAMETERS angstrom
-1.9975 0.0645 2.9083
1.0082 -6.3946 0.8342
5.1867 4.3218 1.3264
ATOMIC_POSITIONS crystal
Sm 0.1224 0.0464 0.3634
Sm 0.6882 0.6121 0.4949
Sc 0.4053 0.5642 0.9291
Sc 0.4053 0.0943 0.9291
Co 0.7972 0.2214 0.7133
Co 0.0135 0.4372 0.1450



! PBE AcDyPd2, optimized geometry; values from VASP
! Total energy (eV/atom): -5.53
! SG: R-3m (166)
! E_form (eV/atom): -0.757
&SYSTEM
  ibrav = 0, nat = 4, ntyp = 3
/
ATOMIC_SPECIES
Dy 162.50 Dy.upf
Pd 106.42 Pd.upf
Ac 227.00 Ac.upf
CELL_PARAMETERS angstrom
-2.5254 2.3643 2.5682
0.1707 -0.5325 4.2721
4.0063 5.3013 2.6733
ATOMIC_POSITIONS crystal
Dy 0.0000 0.0000 0.0000
Pd 0.7403 0.7403 0.7792
Pd 0.2597 0.2597 0.2208
Ac 0.5000 0.5000 0.5000